Computed, not measured: crystalline Na2ThBr6 at its relaxed geometry at the PBE level of DFT.

Cell and atoms, written as extended XYZ:
```
18
Lattice="-0.1582 -3.0838 -6.2615 4.9620 -4.4544 2.0684 -9.2501 -8.2979 4.3204" Properties=species:S:1:pos:R:3 pbc="T T T"
Br -0.8330 -10.0996 -1.1498
Br -3.6134 -5.7365 1.2771
Br -6.8368 -8.4569 2.8108
Br -4.6985 -8.9688 -0.8832
Br 0.2522 -6.8673 1.0105
Br -2.6898 -9.5065 2.3847
Br -0.5287 -2.7982 -0.1354
Br 3.4802 -4.0577 -0.3423
Br 1.3236 -3.4804 -3.8508
Br -1.7565 -6.3296 -2.2573
Br -3.9176 -13.0378 0.2627
Br 2.3904 -7.3791 -2.6835
Na -6.1600 -5.5259 2.8771
Na 0.8669 -5.1461 -1.3796
Na -5.3132 -10.6900 1.5069
Na -3.0901 -2.7720 1.4433
Th 0.0000 0.0000 0.0000
Th -2.2232 -7.9180 0.0637
```

Summary:
Calculated volume: 35.62 Å³ per atom
Total magnetic moment: 0.0 μB per formula unit
Density: 3.92 g cm⁻³
Symmetry: No. 136
Uncorrected energy: -3.895 eV per atom


Computed, not measured: crystalline Rb3PdCl6 at its relaxed geometry at the PBE level of DFT.

Cell and atoms, written as extended XYZ:
```
10
Lattice="3.9579 2.2851 5.9592 -3.9579 2.2851 5.9592 0.0000 -4.5702 5.9592" Properties=species:S:1:pos:R:3 pbc="T T T"
Cl -1.9835 -1.9372 10.5260
Cl 0.6859 -2.6864 7.3515
Cl -2.6694 0.7492 7.3515
Cl 2.6694 -0.7492 10.5260
Cl -0.6859 2.6864 10.5260
Cl 1.9835 1.9372 7.3515
Rb 0.0000 0.0000 8.9387
Rb 0.0000 0.0000 13.6995
Rb 0.0000 0.0000 4.1780
Pd 0.0000 0.0000 0.0000
```

Summary:
Calculated volume: 32.34 Å³ per atom
Density: 2.96 g cm⁻³
Symmetry: No. 148
Uncorrected energy: -3.224 eV per atom